1.
The following is a PBE calculation of a relaxed UReAs crystal, from OQMD via LeMat-Bulk.

As for the energy above the most stable polymorph in this dataset: 524 meV/atom. Its total magnetization is 0.0 μB/f.u.

The structure in extended XYZ format:
```
3
Lattice="0.000 3.218 3.218 3.218 0.000 3.218 3.218 3.218 0.000" Properties=species:S:1:pos:R:3 pbc="T T T"
U 0.000 0.000 0.000
Re 1.609 1.609 1.609
As 4.827 4.827 4.827
```

2.
The following is a PBE calculation of a relaxed DyMg crystal, from OQMD via LeMat-Bulk.

Its total magnetization is 0.0 μB/f.u. The total energy is -3.04 eV per atom.

The structure in extended XYZ format:
```
4
Lattice="3.745 0.000 0.000 0.000 5.354 0.000 0.000 0.000 5.539" Properties=species:S:1:pos:R:3 pbc="T T T"
Dy 0.936 1.338 0.395
Dy 2.809 4.015 5.145
Mg 0.936 4.015 2.400
Mg 2.809 1.338 3.139
```

3.
The following is a PBE calculation of a relaxed InGeAu3S4 crystal, from OQMD via LeMat-Bulk.

As for the energy above the most stable polymorph in this dataset: 0 meV/atom.

The structure in extended XYZ format:
```
18
Lattice="6.135 0.000 0.000 0.000 7.171 0.000 -1.899 0.000 9.899" Properties=species:S:1:pos:R:3 pbc="T T T"
In 0.204 1.793 3.698
In 4.031 5.378 6.201
Ge -1.019 1.793 7.596
Ge 5.254 5.378 2.304
Au 2.130 3.924 1.088
Au 2.130 6.832 1.088
Au 1.738 1.793 6.122
Au 2.498 5.378 3.777
Au 2.105 0.338 8.811
Au 2.105 3.247 8.811
S 0.347 5.378 0.368
S 0.180 5.378 4.272
S 0.250 3.666 7.406
S 0.250 7.090 7.406
S 3.985 0.081 2.494
S 3.985 3.504 2.494
S 4.055 1.793 5.627
S 3.889 1.793 9.532
```

4.
The following is a PBE calculation of a relaxed ScBeCdAu crystal, from OQMD via LeMat-Bulk.

As for the energy above the most stable polymorph in this dataset: 70 meV/atom. Its total magnetization is 0.0 μB/f.u.

The structure in extended XYZ format:
```
4
Lattice="0.000 3.239 3.239 3.239 0.000 3.239 3.239 3.239 0.000" Properties=species:S:1:pos:R:3 pbc="T T T"
Sc 0.000 0.000 0.000
Be 4.858 4.858 4.858
Cd 1.619 1.619 1.619
Au 3.239 3.239 3.239
```